[1]
An optimized crystal structure of CeAl2SiOs. Source: the Alexandria database, functional GGA-PBE.

Cell lengths 6.224, 6.224, 6.224 Å; angles 143.24, 141.30, 54.44 degrees
Fractional positions:
Ce 0.000 0.000 0.000
Al 0.375 0.375 0.000
Al 0.741 0.241 0.500
Si 0.601 0.601 0.000
Os 0.226 0.726 0.500

- Energy relative to the elements, uncorrected: -2.43 eV/f.u.
- SG: No. 44
- Energy: -32.5 eV/cell

[2]
An optimized crystal structure of MnTe2Os. Source: the Alexandria database, functional GGA-PBE.

Cell lengths 6.552, 6.552, 6.552 Å; angles 36.35, 36.35, 36.35 degrees
Fractional positions:
Mn 0.000 0.000 0.000
Te 0.240 0.240 0.240
Te 0.760 0.760 0.760
Os 0.500 0.500 0.500

- Energy relative to the elements, uncorrected: 1.75 eV/f.u.
- SG: No. 166
- Energy: -24.9 eV/cell
- Polymorph energy (0 for the lowest one): 356.4 meV/atom

[3]
An optimized crystal structure of NdTi2Cr. Source: the Alexandria database, functional GGA-PBE.

Cell lengths 9.941, 9.941, 9.941 Å; angles 17.67, 17.67, 17.67 degrees
Fractional positions:
Nd 0.000 0.000 0.000
Ti 0.105 0.105 0.105
Ti 0.895 0.895 0.895
Cr 0.500 0.500 0.500

- SG: No. 166
- Energy: -28.3 eV/cell
- Formation enthalpy at 0 K: 0.4645 eV per atom

[4]
An optimized crystal structure of TaTeAs2. Source: the Alexandria database, functional GGA-PBE.

Cell lengths 5.334, 5.334, 5.334 Å; angles 132.98, 132.98, 68.69 degrees
Fractional positions:
Ta 0.000 0.000 0.000
Te 0.500 0.500 0.000
As 0.250 0.750 0.500
As 0.750 0.250 0.500

- Energy relative to the elements, uncorrected: 1.85 eV/f.u.
- SG: No. 139
- Energy: -22.4 eV/cell

[5]
An optimized crystal structure of LaCoI3. Source: the Alexandria database, functional GGA-PBE.

Cell lengths 5.249, 5.249, 5.249 Å; angles 90.00, 90.00, 90.00 degrees
Fractional positions:
La 0.000 0.000 0.000
Co 0.500 0.500 0.500
I 0.000 0.500 0.500
I 0.500 0.000 0.500
I 0.500 0.500 0.000

- Energy relative to the elements, uncorrected: -1.63 eV/f.u.
- SG: No. 221
- Energy: -18.3 eV/cell

[6]
An optimized crystal structure of Li2CuAuF6. Source: the Alexandria database, functional GGA-PBE.

Cell lengths 5.934, 5.934, 5.934 Å; angles 60.00, 60.00, 60.00 degrees
Fractional positions:
Li 0.250 0.250 0.250
Li 0.750 0.750 0.750
Cu 0.000 0.000 0.000
Au 0.500 0.500 0.500
F 0.235 0.235 0.765
F 0.235 0.765 0.235
F 0.235 0.765 0.765
F 0.765 0.235 0.235
F 0.765 0.235 0.765
F 0.765 0.765 0.235

- Energy relative to the elements, uncorrected: -15.92 eV/f.u.
- SG: No. 225
- Energy: -38.4 eV/cell
- Polymorph energy (0 for the lowest one): 262.6 meV/atom

[7]
An optimized crystal structure of K3Ce3HfTe8. Source: the Alexandria database, functional GGA-PBE.

Cell lengths 9.907, 9.907, 9.907 Å; angles 54.25, 54.25, 54.25 degrees
Fractional positions:
K 0.000 0.500 0.500
K 0.500 0.000 0.500
K 0.500 0.500 0.000
Ce 0.000 0.000 0.500
Ce 0.000 0.500 0.000
Ce 0.500 0.000 0.000
Hf 0.500 0.500 0.500
Te 0.239 0.239 0.239
Te 0.258 0.721 0.721
Te 0.279 0.279 0.742
Te 0.279 0.742 0.279
Te 0.721 0.258 0.721
Te 0.721 0.721 0.258
Te 0.742 0.279 0.279
Te 0.761 0.761 0.761

- Energy relative to the elements, uncorrected: -18.30 eV/f.u.
- SG: No. 166
- Energy: -74.5 eV/cell

[8]
An optimized crystal structure of Pr2PuTcN4. Source: the Alexandria database, functional GGA-PBE.

Cell lengths 6.265, 6.265, 12.247 Å; angles 90.00, 90.00, 147.73 degrees
Fractional positions:
Pr 0.132 0.868 0.541
Pr 0.132 0.868 0.959
Pr 0.868 0.132 0.041
Pr 0.868 0.132 0.459
Pu 0.374 0.626 0.750
Pu 0.626 0.374 0.250
Tc 0.355 0.645 0.250
Tc 0.645 0.355 0.750
N 0.068 0.932 0.750
N 0.226 0.774 0.141
N 0.226 0.774 0.359
N 0.500 0.500 0.000
N 0.500 0.500 0.500
N 0.774 0.226 0.641
N 0.774 0.226 0.859
N 0.932 0.068 0.250

- Energy relative to the elements, uncorrected: -6.13 eV/f.u.
- SG: No. 63
- Energy: -147.4 eV/cell

[9]
An optimized crystal structure of Na4B7C. Source: the Alexandria database, functional GGA-PBE.

Cell lengths 9.190, 9.190, 10.663 Å; angles 106.90, 106.90, 17.86 degrees
Fractional positions:
Na 0.000 0.000 0.000
Na 0.000 0.000 0.500
Na 0.250 0.250 0.626
Na 0.251 0.251 0.125
Na 0.500 0.500 0.249
Na 0.500 0.500 0.751
Na 0.749 0.749 0.875
Na 0.750 0.750 0.374
B 0.124 0.124 0.225
B 0.125 0.125 0.386
B 0.125 0.125 0.741
B 0.126 0.126 0.907
B 0.375 0.375 0.353
B 0.375 0.375 0.516
B 0.375 0.375 0.871
B 0.625 0.625 0.129
B 0.625 0.625 0.484
B 0.625 0.625 0.647
B 0.874 0.874 0.093
B 0.875 0.875 0.259
B 0.875 0.875 0.614
B 0.876 0.876 0.775
C 0.374 0.374 0.020
C 0.626 0.626 0.980

- SG: No. 12
- Energy: -116.8 eV/cell
- Polymorph energy (0 for the lowest one): 13.5 meV/atom
- Formation enthalpy at 0 K: 0.2356 eV per atom

[10]
An optimized crystal structure of Li3Sb2Pt2. Source: the Alexandria database, functional GGA-PBE.

Cell lengths 4.581, 4.581, 7.328 Å; angles 107.97, 107.97, 59.88 degrees
Fractional positions:
Li 0.000 0.000 0.000
Li 0.137 0.137 0.408
Li 0.863 0.863 0.592
Sb 0.408 0.408 0.220
Sb 0.592 0.592 0.780
Pt 0.266 0.266 0.801
Pt 0.734 0.734 0.199

- Energy relative to the elements, uncorrected: -4.68 eV/f.u.
- SG: No. 12
- Energy: -30.7 eV/cell

[11]
An optimized crystal structure of BeTc2Mo. Source: the Alexandria database, functional GGA-PBE.

Cell lengths 2.722, 3.992, 5.095 Å; angles 90.00, 97.05, 90.00 degrees
Fractional positions:
Be 0.000 0.000 0.000
Tc 0.022 0.000 0.507
Tc 0.572 0.500 0.757
Mo 0.507 0.500 0.233

- SG: No. 6
- Energy: -35.0 eV/cell
- Formation enthalpy at 0 K: 0.0658 eV per atom

[12]
An optimized crystal structure of Ta2GeN. Source: the Alexandria database, functional GGA-PBE.

Cell lengths 6.580, 6.580, 6.580 Å; angles 133.93, 133.93, 67.20 degrees
Fractional positions:
Ta 0.029 0.625 0.904
Ta 0.375 0.279 0.404
Ta 0.721 0.125 0.096
Ta 0.875 0.971 0.596
Ge 0.250 0.750 0.500
Ge 0.500 0.500 0.000
N 0.000 0.000 0.000
N 0.750 0.250 0.500

- Energy relative to the elements, uncorrected: -0.12 eV/f.u.
- SG: No. 122
- Energy: -73.5 eV/cell
- Polymorph energy (0 for the lowest one): 396.9 meV/atom